Computed, not measured: CuNiI2O after structural relaxation at the GGA+U level of DFT.

Structure (POSCAR):
```
CuNiI2O
1.0
5.720 0.000 0.000
0.000 5.720 0.000
0.000 0.000 3.534
Cu Ni I O
1 1 2 1
Direct
0.000 0.000 0.000
0.500 0.500 0.500
0.000 0.500 0.000
0.500 0.000 0.000
0.000 0.000 0.500
```

Properties
Raw total energy, eV per atom: -2.638
M_tot, μB/atom: 0.013